[1]
This record from Alexandria describes a relaxed structure of CuSiRh2. The functional is GGA-PBE.

Lattice parameters (Å, degrees): 3.0315 3.0315 5.7612 90.00 90.00 90.00
With the nearest neighbours (Å) after each atom.
Atoms (fractional coordinates):
Cu (0.0000, 0.0000, 0.0000)  4 Si 2.49, 5 Rh 2.53-2.56
Si (0.5000, 0.5000, 0.7786)  4 Cu 2.49, 5 Rh 2.50-2.62
Rh (0.0000, 0.0000, 0.5553)  4 Si 2.50, 1 Cu 2.56
Rh (0.5000, 0.5000, 0.2336)  4 Cu 2.53, 1 Si 2.62, 4 Rh 2.83

Output
uncorrected formation energy = -0.1997 eV per atom

[2]
This record from Alexandria describes a relaxed structure of ReSnB2O. The functional is GGA-PBE.

Lattice parameters (Å, degrees): 4.3160 4.3160 3.8246 90.00 90.00 90.00
With the nearest neighbours (Å) after each atom.
Atoms (fractional coordinates):
Re (0.0000, 0.0000, 0.0000)  2 O 1.91
Sn (0.5000, 0.5000, 0.5000)  8 B 2.88, 4 O 3.05
B (0.0000, 0.5000, 0.0000)  2 Re 2.16
B (0.5000, 0.0000, 0.0000)  2 Re 2.16
O (0.0000, 0.0000, 0.5000)  2 Re 1.91

Output
uncorrected formation energy = 0.4167 eV per atom

[3]
This record from Alexandria describes a relaxed structure of Ga3Ag2Pb. The functional is GGA-PBE.

Lattice parameters (Å, degrees): 6.7093 6.7093 5.5854 90.00 90.00 85.67
With the nearest neighbours (Å) after each atom.
Atoms (fractional coordinates):
Ga (0.0213, 0.9787, 0.7500)  4 Ga 2.69-2.82, 4 Ag 2.84
Ga (0.1102, 0.5808, 0.7500)  1 Ga 2.69, 4 Ag 2.72-2.95
Ga (0.4192, 0.8898, 0.7500)  1 Ga 2.69, 4 Ag 2.72-2.95
Ga (0.5808, 0.1102, 0.2500)  1 Ga 2.69, 4 Ag 2.72-2.95
Ga (0.8898, 0.4192, 0.2500)  1 Ga 2.69, 4 Ag 2.72-2.95
Ga (0.9787, 0.0213, 0.2500)  4 Ga 2.69-2.82, 4 Ag 2.84
Ag (0.2509, 0.2509, 0.0000)  6 Ga 2.72-2.95, 2 Ag 2.79
Ag (0.2509, 0.2509, 0.5000)  6 Ga 2.72-2.95, 2 Ag 2.79
Ag (0.7491, 0.7491, 0.0000)  6 Ga 2.72-2.95, 2 Ag 2.79
Ag (0.7491, 0.7491, 0.5000)  6 Ga 2.72-2.95, 2 Ag 2.79
Pb (0.3343, 0.6657, 0.2500)  4 Ag 3.20, 7 Ga 3.24-3.52
Pb (0.6657, 0.3343, 0.7500)  4 Ag 3.20, 7 Ga 3.24-3.52

Output
formation energy = 0.0464 eV/atom

[4]
This record from Alexandria describes a relaxed structure of Si2MoP. The functional is GGA-PBE.

Lattice parameters (Å, degrees): 4.2991 4.2991 4.2991 60.00 60.00 60.00
With the nearest neighbours (Å) after each atom.
Atoms (fractional coordinates):
Si (0.0000, 0.0000, 0.0000)  4 Mo 2.63, 4 Si 2.63
Si (0.2500, 0.2500, 0.2500)  4 P 2.63, 4 Si 2.63
Mo (0.7500, 0.7500, 0.7500)  4 Si 2.63, 4 P 2.63
P (0.5000, 0.5000, 0.5000)  4 Mo 2.63, 4 Si 2.63

Output
uncorrected formation energy = 0.3681 eV per atom

[5]
This record from Alexandria describes a relaxed structure of Co2PdPt. The functional is GGA-PBE.

Lattice parameters (Å, degrees): 5.3218 5.3218 5.3218 119.36 119.32 91.15
With the nearest neighbours (Å) after each atom.
Atoms (fractional coordinates):
Co (0.0000, 0.2483, 0.2483)  4 Pd 2.66, 4 Pt 2.66, 4 Co 2.67-2.71
Co (0.0000, 0.7517, 0.7517)  4 Pd 2.66, 4 Pt 2.66, 4 Co 2.67-2.71
Co (0.5000, 0.2483, 0.7483)  4 Pd 2.66, 4 Pt 2.66, 4 Co 2.67-2.71
Co (0.5000, 0.7517, 0.2517)  4 Pd 2.66, 4 Pt 2.66, 4 Co 2.67-2.71
Pd (0.4990, 0.7490, 0.7500)  8 Co 2.66, 2 Pd 2.69, 2 Pt 2.69
Pd (0.5010, 0.2510, 0.2500)  8 Co 2.66, 2 Pd 2.69, 2 Pt 2.69
Pt (0.0009, 0.2509, 0.7500)  8 Co 2.66, 2 Pt 2.69, 2 Pd 2.69
Pt (0.9991, 0.7491, 0.2500)  8 Co 2.66, 2 Pt 2.69, 2 Pd 2.69

Output
formation energy = -0.0228 eV/atom

[6]
This record from Alexandria describes a relaxed structure of LiAcSn2Pt2. The functional is GGA-PBE.

Lattice parameters (Å, degrees): 4.6361 4.6361 7.3236 90.00 90.00 120.00
With the nearest neighbours (Å) after each atom.
Atoms (fractional coordinates):
Li (0.0000, 0.0000, 0.0000)  6 Sn 2.96, 6 Pt 3.09
Ac (0.0000, 0.0000, 0.5000)  6 Pt 3.41, 6 Sn 3.59, 2 Li 3.66
Sn (0.3333, 0.6667, 0.8259)  4 Pt 2.69-2.82, 3 Li 2.96
Sn (0.6667, 0.3333, 0.1741)  4 Pt 2.69-2.82, 3 Li 2.96
Pt (0.3333, 0.6667, 0.2110)  4 Sn 2.69-2.82
Pt (0.6667, 0.3333, 0.7890)  4 Sn 2.69-2.82

Output
formation energy = -0.8509 eV/atom